Entry 1:
3
Lattice="4.195 0.000 0.000 2.098 3.633 0.000 2.098 1.211 3.425" Properties=species:S:1:pos:R:3 comment="PBE-GGA ReIr2, optimized geometry" magnetic_moment_mub_per_cell=0.00 dos_at_fermi_per_ev_cell=4.53 pbc="T T T"
Ir 6.293 3.633 2.569
Ir 2.098 1.211 0.856
Re 0.000 0.000 0.000

***

Entry 2:
9
Lattice="3.875 0.000 0.000 1.938 5.813 0.000 -1.938 0.000 5.813" Properties=species:S:1:pos:R:3 comment="PBE-GGA ReIr8, optimized geometry" magnetic_moment_mub_per_cell=0.00 dos_at_fermi_per_ev_cell=5.99 pbc="T T T"
Ir 0.000 1.922 1.922
Ir 0.000 3.891 3.891
Ir 1.938 3.891 1.922
Ir 0.000 0.000 3.918
Ir 1.938 1.895 0.000
Ir 1.938 1.922 3.891
Ir 3.875 3.918 0.000
Ir 1.938 0.000 1.895
Re 0.000 0.000 0.000

***

Entry 3:
6
Lattice="2.758 0.000 0.000 -1.379 5.034 0.005 0.000 1.599 6.307" Properties=species:S:1:pos:R:3 comment="PBE-GGA ReIr5, optimized geometry" magnetic_moment_mub_per_cell=0.00 dos_at_fermi_per_ev_cell=5.57 pbc="T T T"
Ir 0.000 0.023 0.007
Ir 0.000 5.046 4.605
Ir 1.379 2.749 4.209
Ir 0.000 1.203 2.423
Ir 0.000 3.865 2.089
Re 1.379 2.324 0.344

***

Entry 4:
4
Lattice="-0.072 -2.598 0.945 2.248 1.558 0.407 -3.395 2.889 7.688" Properties=species:S:1:pos:R:3 comment="PBE-GGA ReIr, optimized geometry" magnetic_moment_mub_per_cell=0.00 dos_at_fermi_per_ev_cell=2.93 pbc="T T T"
Ir -3.377 2.874 7.647
Ir 0.608 0.910 2.549
Re -1.699 1.446 3.846
Re -1.071 2.339 6.350

***

Entry 5:
8
Lattice="-4.885 -0.027 -0.721 -0.341 0.004 4.927 -0.464 4.904 0.347" Properties=species:S:1:pos:R:3 comment="PBE-GGA Re2Ir3Rh3, optimized geometry" magnetic_moment_mub_per_cell=0.00 dos_at_fermi_per_ev_cell=7.67 pbc="T T T"
Re -1.755 3.569 1.392
Re -3.935 1.313 3.160
Ir -1.509 2.450 3.936
Ir -2.608 0.998 0.726
Ir -4.418 3.875 2.166
Rh -2.039 4.900 3.739
Rh -0.219 1.333 1.433
Rh -4.237 3.557 4.654

***

Entry 6:
5
Lattice="-2.692 -1.374 -3.498 2.637 -3.756 -0.554 -2.678 -2.318 2.971" Properties=species:S:1:pos:R:3 comment="PBE-GGA ReIrRh3, optimized geometry" magnetic_moment_mub_per_cell=0.45 dos_at_fermi_per_ev_cell=8.47 pbc="T T T"
Re 0.000 0.000 0.000
Ir -1.366 -3.724 -0.541
Rh 1.318 -1.878 -0.277
Rh -1.339 -1.159 1.485
Rh -1.346 -0.687 -1.749

***

Entry 7:
6
Lattice="0.000 3.548 3.548 3.548 0.000 3.548 3.548 3.548 0.000" Properties=species:S:1:pos:R:3 comment="PBE-GGA ReIrRh4, optimized geometry" magnetic_moment_mub_per_cell=0.00 dos_at_fermi_per_ev_cell=7.74 pbc="T T T"
Re 0.000 0.000 0.000
Ir 5.322 5.322 5.322
Rh 2.661 4.434 4.434
Rh 4.434 4.434 2.661
Rh 4.434 2.661 4.434
Rh 2.661 2.661 2.661

***

Entry 8:
5
Lattice="4.676 0.000 0.000 0.000 4.676 0.000 0.000 0.000 4.676" Properties=species:S:1:pos:R:3 comment="PBE-GGA ReIrRh3, optimized geometry" magnetic_moment_mub_per_cell=4.43 dos_at_fermi_per_ev_cell=7.16 pbc="T T T"
Re 2.338 2.338 2.338
Ir 0.000 0.000 0.000
Rh 0.000 2.338 0.000
Rh 0.000 0.000 2.338
Rh 2.338 0.000 0.000

***

Entry 9:
18
Lattice="-0.348 -4.898 1.029 7.376 0.086 0.420 -1.606 2.086 6.903" Properties=species:S:1:pos:R:3 comment="PBE-GGA ReIr2Rh6, optimized geometry" magnetic_moment_mub_per_cell=0.00 dos_at_fermi_per_ev_cell=23.61 pbc="T T T"
Re 6.434 -0.948 1.294
Re -1.012 -1.778 7.058
Ir 2.340 0.187 2.725
Ir 3.677 -0.558 4.808
Ir 3.082 -2.914 5.627
Ir 1.745 -2.168 3.544
Rh 1.118 -0.900 5.809
Rh 0.469 -3.460 5.700
Rh 4.304 -1.826 2.543
Rh 4.953 0.734 2.653
Rh 5.678 -2.150 5.086
Rh 2.735 -3.731 1.496
Rh -0.256 -0.577 3.266
Rh 2.687 1.004 6.856
Rh 1.599 -1.322 0.709
Rh 5.756 0.653 5.859
Rh 3.823 -1.404 7.643
Rh -0.334 -3.380 2.494

***

Entry 10:
9
Lattice="-0.877 -3.701 0.610 3.238 -2.360 2.500 -2.645 -0.102 7.740" Properties=species:S:1:pos:R:3 comment="PBE-GGA Re2IrRh6, optimized geometry" magnetic_moment_mub_per_cell=0.00 dos_at_fermi_per_ev_cell=9.91 pbc="T T T"
Re -0.252 -2.736 7.360
Re -0.032 -3.427 3.490
Ir 0.296 -1.231 5.120
Rh -0.779 -4.263 9.505
Rh 0.495 -1.900 1.345
Rh 1.354 -5.668 4.044
Rh 1.721 -3.494 5.602
Rh -1.638 -0.495 6.807
Rh -2.005 -2.669 5.248

***

Entry 11:
9
Lattice="0.243 -0.928 -2.542 -3.565 -12.204 4.117 -1.865 7.382 -1.422" Properties=species:S:1:pos:R:3 comment="PBE-GGA Re2IrRh6, optimized geometry" magnetic_moment_mub_per_cell=0.00 dos_at_fermi_per_ev_cell=11.22 pbc="T T T"
Re -1.244 0.288 -0.224
Re -3.944 -6.038 0.376
Ir -1.783 -6.102 2.058
Rh -2.889 -1.581 0.301
Rh -2.298 -4.169 -0.149
Rh -3.529 -8.383 1.272
Rh -0.387 -2.206 -0.684
Rh -2.935 -10.926 2.258
Rh -1.658 2.633 -1.120

***

Entry 12:
16
Lattice="-2.139 -5.107 0.019 4.559 -1.863 2.510 -4.253 -1.194 6.814" Properties=species:S:1:pos:R:3 comment="PBE-GGA Re2IrRh, optimized geometry" magnetic_moment_mub_per_cell=0.00 dos_at_fermi_per_ev_cell=11.66 pbc="T T T"
Re 2.264 -4.656 3.024
Re -4.097 -3.509 6.320
Re -2.482 -4.183 2.843
Re 0.649 -3.982 6.501
Re -2.899 -6.978 7.585
Re 1.067 -1.187 1.758
Re -2.706 -5.585 5.265
Re 0.873 -2.580 4.078
Ir -1.607 -3.038 5.168
Ir -0.226 -5.127 4.176
Ir -1.786 -4.448 7.505
Ir -0.047 -3.717 1.838
Rh -1.434 -1.623 2.892
Rh -0.399 -6.542 6.451
Rh 3.315 -2.090 3.078
Rh -5.148 -6.075 6.265

***

| no. | DFT formation energy (eV/atom) |
| --- | --- |
| 1 | 0.396 |
| 2 | -0.095 |
| 3 | -0.068 |
| 4 | -0.128 |
| 5 | 0.090 |
| 6 | 1.712 |
| 7 | 0.473 |
| 8 | 2.002 |
| 9 | 0.192 |
| 10 | -0.072 |
| 11 | 0.068 |
| 12 | -0.114 |